Record 1
This record from Alexandria via LeMat-Bulk describes a geometry-optimized La2Gd structure. The functional is PBE.

Cell: 6.748 6.748 6.748 Å, 60.00 60.00 60.00°
Last column: magnetic moment on the atom in μB.
Positions (direct):
Gd1 0.000 0.000 0.000  7.16
Gd2 0.250 0.250 0.250  7.16
La1 0.125 0.625 0.625  -0.02
La2 0.625 0.125 0.625  -0.02
La3 0.625 0.625 0.625  -0.02
La4 0.625 0.625 0.125  -0.02

Computed properties:
SG	Fd-3m, No. 227
total magnetization	7.5	μB per formula unit
excess energy over the best structure of this formula in the dataset	212.8	meV per atom
calculated formation energy	214	meV/atom
DOS at the Fermi energy	6.65	states/eV/f.u.



Record 2
This record from Alexandria via LeMat-Bulk describes a geometry-optimized LiLaGd structure. The functional is PBE.

Cell: 3.582 3.582 8.475 Å, 90.00 90.00 120.00°
Last column: magnetic moment on the atom in μB.
Positions (direct):
Gd1 0.667 0.333 0.326  -7.26
Li1 0.000 0.000 0.005  -0.01
La1 0.333 0.667 0.669  0.02

Computed properties:
SG	P3m1, No. 156
total magnetization	7.6	μB per formula unit
excess energy over the best structure of this formula in the dataset	31.2	meV per atom
calculated formation energy	100	meV/atom
DOS at the Fermi energy	3.57	states/eV/f.u.



Record 3
This record from Alexandria via LeMat-Bulk describes a geometry-optimized Li4LaGd structure. The functional is PBE.

Cell: 5.968 5.968 5.968 Å, 60.00 60.00 60.00°
Last column: magnetic moment on the atom in μB.
Positions (direct):
Gd1 0.000 0.000 0.000  7.19
Li1 0.626 0.626 0.123  0.01
Li2 0.626 0.123 0.626  0.01
Li3 0.626 0.626 0.626  0.01
Li4 0.123 0.626 0.626  0.01
La1 0.250 0.250 0.250  0.12

Computed properties:
SG	F-43m, No. 216
total magnetization	7.9	μB per formula unit
calculated formation energy	109	meV/atom
DOS at the Fermi energy	8.37	states/eV/f.u.



Record 4
This record from Alexandria via LeMat-Bulk describes a geometry-optimized LiLa2Gd structure. The functional is PBE.

Cell: 3.722 3.722 9.286 Å, 90.00 90.00 90.00°
Last column: magnetic moment on the atom in μB.
Positions (direct):
Gd1 0.500 0.500 0.500  7.26
Li1 0.500 0.500 0.000  -0.01
La1 0.000 0.000 0.769  0.03
La2 0.000 0.000 0.231  0.03

Computed properties:
SG	P4/mmm, No. 123
total magnetization	7.7	μB per formula unit
excess energy over the best structure of this formula in the dataset	0.0	meV per atom
calculated formation energy	63	meV/atom
DOS at the Fermi energy	6.17	states/eV/f.u.



Record 5
This record from Alexandria via LeMat-Bulk describes a geometry-optimized LiLa2Gd structure. The functional is PBE.

Cell: 3.479 3.479 12.465 Å, 81.98 81.98 60.00°
Last column: magnetic moment on the atom in μB.
Positions (direct):
Gd1 0.000 0.000 0.000  7.30
Li1 0.500 0.500 0.500  0.00
La1 0.089 0.089 0.733  0.00
La2 0.911 0.911 0.267  0.00

Computed properties:
SG	R-3m, No. 166
total magnetization	7.6	μB per formula unit
excess energy over the best structure of this formula in the dataset	154.8	meV per atom
calculated formation energy	218	meV/atom
DOS at the Fermi energy	5.59	states/eV/f.u.



Record 6
This record from Alexandria via LeMat-Bulk describes a geometry-optimized LiLa2Gd structure. The functional is PBE.

Cell: 5.680 5.680 5.680 Å, 60.00 60.00 60.00°
Last column: magnetic moment on the atom in μB.
Positions (direct):
Gd1 0.000 0.000 0.000  7.21
Li1 0.500 0.500 0.500  -0.01
La1 0.250 0.250 0.250  0.03
La2 0.750 0.750 0.750  0.03

Computed properties:
SG	Fm-3m, No. 225
total magnetization	7.5	μB per formula unit
excess energy over the best structure of this formula in the dataset	84.4	meV per atom
calculated formation energy	147	meV/atom
DOS at the Fermi energy	5.74	states/eV/f.u.



Record 7
This record from Alexandria via LeMat-Bulk describes a geometry-optimized LiLaGd structure. The functional is PBE.

Cell: 3.723 3.723 7.028 Å, 105.36 105.36 90.00°
Last column: magnetic moment on the atom in μB.
Positions (direct):
Gd1 0.321 0.321 0.641  7.32
La1 0.009 0.009 0.017  0.09
Li1 0.671 0.671 0.342  0.00

Computed properties:
SG	I4mm, No. 107
total magnetization	8.0	μB per formula unit
excess energy over the best structure of this formula in the dataset	0.0	meV per atom
calculated formation energy	69	meV/atom
DOS at the Fermi energy	3.88	states/eV/f.u.



Record 8
This record from Alexandria via LeMat-Bulk describes a geometry-optimized LiLaGdMg structure. The functional is PBE.

Cell: 5.472 5.472 5.472 Å, 60.00 60.00 60.00°
Last column: magnetic moment on the atom in μB.
Positions (direct):
Mg1 0.500 0.500 0.500  0.00
Gd1 0.250 0.250 0.250  7.29
Li1 0.000 0.000 0.000  0.01
La1 0.750 0.750 0.750  0.17

Computed properties:
SG	F-43m, No. 216
total magnetization	8.2	μB per formula unit
calculated formation energy	9	meV/atom
DOS at the Fermi energy	5.20	states/eV/f.u.